This record from Alexandria via LeMat-Bulk describes a relaxed structure of Ce3PmEr2S6. The functional is PBE-GGA.

abc: 6.8608 6.8608 6.9310
angles: 99.51 99.51 120.04
Site moments in Bohr magnetons follow the coordinates.
Sites, in units of the cell vectors:
Ce  0.8367  0.1633  0.5000  0.70
Ce  0.1633  0.8367  0.5000  0.70
Ce  0.5000  0.5000  0.5000  0.70
S  0.7367  0.7367  0.2368  -0.01
S  0.0801  0.4223  0.2403  -0.01
S  0.9199  0.5777  0.7597  -0.01
S  0.5777  0.9199  0.7597  -0.01
S  0.4223  0.0801  0.2403  -0.01
S  0.2633  0.2633  0.7632  -0.01
Er  0.6670  0.3330  0.0000  0.00
Er  0.3330  0.6670  0.0000  0.00
Pm  0.0000  0.0000  0.0000  -0.01

* space-group type: No. 12
* formation energy (no corrections): -2.021 eV per atom
* calculated total energy: -6.725 eV/atom
* density: 6.80 Mg/m³
* calculated volume: 266.6 Å³ per cell